AlAuO3 after structural relaxation, computed with PBEsol.

Cell lengths 3.983, 3.983, 3.983 Å; angles 90.00, 90.00, 90.00 degrees
Fractional positions:
Al  0.000  0.000  0.000
Au  0.500  0.500  0.500
O  0.000  0.500  0.500
O  0.500  0.000  0.500
O  0.500  0.500  0.000

* E_form (uncorrected): 8.0 kJ/mol of atoms
* space group: Pm-3m, No. 221
* crystal system: cubic
* total moment: 0.00 μB/f.u.